(1)
# SmErCdRu, optimized geometry, DFT PBE
data_SmErCdRu
_chemical_formula_sum 'Sm1 Er1 Cd1 Ru1'
_cell_length_a 3.4817
_cell_length_b 3.4817
_cell_length_c 7.7349
_cell_angle_alpha 90.00
_cell_angle_beta 90.00
_cell_angle_gamma 90.00
_space_group_name_H-M_alt 'P 4 m m'
_space_group_IT_number 99
loop_
_space_group_symop_operation_xyz
'x,y,z'
'-y,x,z'
'-x,-y,z'
'y,-x,z'
'-x,y,z'
'y,x,z'
'x,-y,z'
'-y,-x,z'
loop_
_atom_site_label
_atom_site_fract_x
_atom_site_fract_y
_atom_site_fract_z
Sm1 0.0000 0.0000 0.0000
Er1 0.0000 0.0000 0.5692
Cd1 0.5000 0.5000 0.2963
Ru1 0.5000 0.5000 0.7749
# Energy of formation from the pure elements, eV per atom: -0.368
# ΔE to the lowest computed polymorph, meV/atom: 0.0

(2)
# Tb2Er5CdRu2, optimized geometry, DFT PBE
data_Tb2Er5CdRu2
_chemical_formula_sum 'Tb4 Er10 Cd2 Ru4'
_cell_length_a 11.6856
_cell_length_b 11.6856
_cell_length_c 3.8421
_cell_angle_alpha 90.00
_cell_angle_beta 90.00
_cell_angle_gamma 90.00
_space_group_name_H-M_alt 'P 4/m b m'
_space_group_IT_number 127
_space_group_name_Hall '-P 4 2ab'
loop_
_atom_site_label
_atom_site_fract_x
_atom_site_fract_y
_atom_site_fract_z
Tb1 0.1852 0.3148 0.0000
Er1 0.0000 0.5000 0.5000
Er2 0.0620 0.7862 0.5000
Cd1 0.0000 0.0000 0.0000
Ru1 0.1290 0.6290 0.0000
# Energy of formation from the pure elements, eV per atom: -0.305

(3)
# ErThCdRu, optimized geometry, DFT PBE
data_ErThCdRu
_chemical_formula_sum 'Er4 Th4 Cd4 Ru4'
_cell_length_a 7.2451
_cell_length_b 7.2451
_cell_length_c 7.2451
_cell_angle_alpha 90.00
_cell_angle_beta 90.00
_cell_angle_gamma 90.00
_space_group_name_H-M_alt 'F -4 3 m'
_space_group_IT_number 216
_space_group_name_Hall 'F -4 2 3'
loop_
_atom_site_label
_atom_site_fract_x
_atom_site_fract_y
_atom_site_fract_z
Er1 0.0000 0.0000 0.0000
Th1 0.0000 0.0000 0.5000
Cd1 0.2500 0.2500 0.7500
Ru1 0.2500 0.2500 0.2500
# Energy of formation from the pure elements, eV per atom: -0.226

(4)
# ErTmCdRu, optimized geometry, DFT PBE
data_ErTmCdRu
_chemical_formula_sum 'Er1 Tm1 Cd1 Ru1'
_cell_length_a 3.4229
_cell_length_b 3.4229
_cell_length_c 7.6117
_cell_angle_alpha 90.00
_cell_angle_beta 90.00
_cell_angle_gamma 90.00
_space_group_name_H-M_alt 'P 4 m m'
_space_group_IT_number 99
loop_
_space_group_symop_operation_xyz
'x,y,z'
'-y,x,z'
'-x,-y,z'
'y,-x,z'
'-x,y,z'
'y,x,z'
'x,-y,z'
'-y,-x,z'
loop_
_atom_site_label
_atom_site_fract_x
_atom_site_fract_y
_atom_site_fract_z
Er1 0.0000 0.0000 0.0000
Tm1 0.0000 0.0000 0.5707
Cd1 0.5000 0.5000 0.2871
Ru1 0.5000 0.5000 0.7838
# Energy of formation from the pure elements, eV per atom: -0.454
# ΔE to the lowest computed polymorph, meV/atom: 0.0

(5)
# ErTmCdRu, optimized geometry, DFT PBE
data_ErTmCdRu
_chemical_formula_sum 'Er4 Tm4 Cd4 Ru4'
_cell_length_a 7.0372
_cell_length_b 7.0372
_cell_length_c 7.0372
_cell_angle_alpha 90.00
_cell_angle_beta 90.00
_cell_angle_gamma 90.00
_space_group_name_H-M_alt 'F -4 3 m'
_space_group_IT_number 216
_space_group_name_Hall 'F -4 2 3'
loop_
_atom_site_label
_atom_site_fract_x
_atom_site_fract_y
_atom_site_fract_z
Er1 0.0000 0.0000 0.0000
Tm1 0.0000 0.0000 0.5000
Cd1 0.2500 0.2500 0.2500
Ru1 0.2500 0.2500 0.7500
# Energy of formation from the pure elements, eV per atom: -0.327
# ΔE to the lowest computed polymorph, meV/atom: 127.1

(6)
# YErCdRu, optimized geometry, DFT PBE
data_YErCdRu
_chemical_formula_sum 'Y1 Er1 Cd1 Ru1'
_cell_length_a 3.4581
_cell_length_b 3.4581
_cell_length_c 7.6261
_cell_angle_alpha 90.00
_cell_angle_beta 90.00
_cell_angle_gamma 90.00
_space_group_name_H-M_alt 'P 4 m m'
_space_group_IT_number 99
loop_
_space_group_symop_operation_xyz
'x,y,z'
'-y,x,z'
'-x,-y,z'
'y,-x,z'
'-x,y,z'
'y,x,z'
'x,-y,z'
'-y,-x,z'
loop_
_atom_site_label
_atom_site_fract_x
_atom_site_fract_y
_atom_site_fract_z
Y1 0.0000 0.0000 0.0000
Er1 0.0000 0.0000 0.5681
Cd1 0.5000 0.5000 0.2875
Ru1 0.5000 0.5000 0.7783
# Energy of formation from the pure elements, eV per atom: -0.419
# ΔE to the lowest computed polymorph, meV/atom: 0.0

(7)
# YErCdRu, optimized geometry, DFT PBE
data_YErCdRu
_chemical_formula_sum 'Y4 Er4 Cd4 Ru4'
_cell_length_a 7.0946
_cell_length_b 7.0946
_cell_length_c 7.0946
_cell_angle_alpha 90.00
_cell_angle_beta 90.00
_cell_angle_gamma 90.00
_space_group_name_H-M_alt 'F -4 3 m'
_space_group_IT_number 216
_space_group_name_Hall 'F -4 2 3'
loop_
_atom_site_label
_atom_site_fract_x
_atom_site_fract_y
_atom_site_fract_z
Y1 0.0000 0.0000 0.0000
Er1 0.0000 0.0000 0.5000
Cd1 0.2500 0.2500 0.2500
Ru1 0.2500 0.2500 0.7500
# Energy of formation from the pure elements, eV per atom: -0.305
# ΔE to the lowest computed polymorph, meV/atom: 114.3

(8)
# Er2Zn5CdRu2, optimized geometry, DFT PBE
data_Er2Zn5CdRu2
_chemical_formula_sum 'Er4 Zn10 Cd2 Ru4'
_cell_length_a 9.3974
_cell_length_b 9.3974
_cell_length_c 4.1564
_cell_angle_alpha 90.00
_cell_angle_beta 90.00
_cell_angle_gamma 90.00
_space_group_name_H-M_alt 'P 4/m b m'
_space_group_IT_number 127
_space_group_name_Hall '-P 4 2ab'
loop_
_atom_site_label
_atom_site_fract_x
_atom_site_fract_y
_atom_site_fract_z
Er1 0.1738 0.3262 0.0000
Zn1 0.0000 0.5000 0.5000
Zn2 0.0656 0.7869 0.5000
Cd1 0.0000 0.0000 0.0000
Ru1 0.1217 0.6217 0.0000
# Energy of formation from the pure elements, eV per atom: -0.191

(9)
# Er2CdS, optimized geometry, DFT PBE
data_Er2CdS
_chemical_formula_sum 'Er6 Cd3 S3'
_cell_length_a 3.6488
_cell_length_b 3.6488
_cell_length_c 28.5555
_cell_angle_alpha 90.00
_cell_angle_beta 90.00
_cell_angle_gamma 120.00
_space_group_name_H-M_alt 'R -3 m'
_space_group_IT_number 166
_space_group_name_Hall '-R 3 2"'
loop_
_atom_site_label
_atom_site_fract_x
_atom_site_fract_y
_atom_site_fract_z
Er1 0.0000 0.0000 0.1096
Cd1 0.0000 0.0000 0.0000
S1 0.0000 0.0000 0.5000
# Energy relative to the elements, uncorrected, eV/atom: -0.73

(10)
# Er3CdS, optimized geometry, DFT PBE
data_Er3CdS
_chemical_formula_sum 'Er3 Cd1 S1'
_cell_length_a 5.1217
_cell_length_b 5.1217
_cell_length_c 5.1217
_cell_angle_alpha 90.00
_cell_angle_beta 90.00
_cell_angle_gamma 90.00
_space_group_name_H-M_alt 'P m -3 m'
_space_group_IT_number 221
_space_group_name_Hall '-P 4 2 3'
loop_
_atom_site_label
_atom_site_fract_x
_atom_site_fract_y
_atom_site_fract_z
Er1 0.0000 0.0000 0.5000
Cd1 0.5000 0.5000 0.5000
S1 0.0000 0.0000 0.0000
# ΔE to the lowest computed polymorph, meV/atom: 154.2
# Energy relative to the elements, uncorrected, eV/atom: -0.75

no.,magnetic moment (μB/f.u.)
1,0.00
2,0.00
3,0.00
4,0.00
5,0.00
6,0.00
7,0.00
8,0.00
9,0.00
10,0.00